No. 1
The following is a PBE calculation of an optimized crystal structure of Tc3AgBr, from the Alexandria database.

Unit cell a=4.5620 b=4.5620 c=4.5620 alpha=90.00 beta=90.00 gamma=90.00
Last column: nearest neighbours and their distance in Å.
Space group Pm-3m (No. 221)
One atom of each set of equivalent atoms:
Tc  0.0000  0.0000  0.5000 [3 per cell]  2 Br 2.28
Ag  0.5000  0.5000  0.5000 [1 per cell]  12 Tc 3.23
Br  0.0000  0.0000  0.0000 [1 per cell]  6 Tc 2.28

* formation energy without anion corrections: 1.62 eV/atom
* DFT total energy: -5.509 eV per atom
* ΔE to the lowest computed polymorph: 0.000 eV/f.u.
* spin magnetization: 0.37 μB/atom

***

No. 2
The following is a PBE calculation of an optimized crystal structure of Tc2AgBr, from the Alexandria database.

Unit cell a=3.8374 b=3.8374 c=20.5303 alpha=90.00 beta=90.00 gamma=90.00
Last column: nearest neighbours and their distance in Å.
Space group I-42d (No. 122)
One atom of each set of equivalent atoms:
Tc  0.1862  0.2500  0.1250 [8 per cell]  2 Tc 2.39
Ag  0.0000  0.0000  0.5000 [4 per cell]  4 Br 2.71, 4 Tc 2.99
Br  0.0000  0.0000  0.0000 [4 per cell]  4 Ag 2.71, 4 Tc 2.83

* formation energy without anion corrections: 1.05 eV/atom
* DFT total energy: -5.267 eV per atom
* ΔE to the lowest computed polymorph: 2.917 eV/f.u.
* spin magnetization: 0.00 μB/atom

***

No. 3
The following is a PBE calculation of an optimized crystal structure of Tc2AgBr, from the Alexandria database.

Unit cell a=6.4641 b=6.4641 c=6.4641 alpha=90.00 beta=90.00 gamma=90.00
Last column: nearest neighbours and their distance in Å.
Space group F-43m (No. 216)
One atom of each set of equivalent atoms:
Tc  0.0000  0.0000  0.0000 [4 per cell]  4 Tc 2.80, 4 Ag 2.80
Tc  0.2500  0.2500  0.2500 [4 per cell]  4 Tc 2.80, 4 Br 2.80
Ag  0.2500  0.2500  0.7500 [4 per cell]  4 Tc 2.80, 4 Br 2.80
Br  0.0000  0.0000  0.5000 [4 per cell]  4 Tc 2.80, 4 Ag 2.80

* formation energy without anion corrections: 1.06 eV/atom
* DFT total energy: -5.252 eV per atom
* ΔE to the lowest computed polymorph: 2.976 eV/f.u.
* spin magnetization: 0.18 μB/atom

***

No. 4
The following is a PBE calculation of an optimized crystal structure of Tc2AgBr, from the Alexandria database.

Unit cell a=2.9438 b=4.8127 c=9.5268 alpha=90.00 beta=90.00 gamma=90.00
Last column: nearest neighbours and their distance in Å.
Space group Cmmm (No. 65)
One atom of each set of equivalent atoms:
Tc  0.0000  0.0000  0.2436 [4 per cell]  2 Br 2.75, 6 Tc 2.82-2.94, 2 Ag 2.85
Ag  0.0000  0.5000  0.5000 [2 per cell]  6 Ag 2.82-2.94, 4 Tc 2.85
Br  0.0000  0.5000  0.0000 [2 per cell]  4 Tc 2.75, 6 Br 2.82-2.94

* formation energy without anion corrections: 1.02 eV/atom
* DFT total energy: -5.292 eV per atom
* ΔE to the lowest computed polymorph: 2.816 eV/f.u.
* spin magnetization: 0.00 μB/atom

***

No. 5
The following is a PBE calculation of an optimized crystal structure of Tc3AgBr, from the Alexandria database.

Unit cell a=5.1347 b=5.1347 c=5.1347 alpha=90.00 beta=90.00 gamma=90.00
Last column: nearest neighbours and their distance in Å.
Space group Pm-3m (No. 221)
One atom of each set of equivalent atoms:
Tc  0.0000  0.0000  0.5000 [3 per cell]  2 Ag 2.57
Ag  0.0000  0.0000  0.0000 [1 per cell]  6 Tc 2.57
Br  0.5000  0.5000  0.5000 [1 per cell]  12 Tc 3.63

* formation energy without anion corrections: 2.35 eV/atom
* DFT total energy: -4.778 eV per atom
* ΔE to the lowest computed polymorph: 3.658 eV/f.u.
* spin magnetization: 2.34 μB/atom

***

No. 6
The following is a PBE calculation of an optimized crystal structure of Tc2AgBr, from the Alexandria database.

Unit cell a=2.9404 b=2.9404 c=26.2739 alpha=90.00 beta=90.00 gamma=120.00
Last column: nearest neighbours and their distance in Å.
Space group R-3m (No. 166, hexagonal axes)
One atom of each set of equivalent atoms:
Tc  0.0000  0.0000  0.2448 [6 per cell]  3 Br 2.66, 3 Ag 2.88, 6 Tc 2.94
Ag  0.0000  0.0000  0.0000 [3 per cell]  6 Tc 2.88, 6 Ag 2.94
Br  0.0000  0.0000  0.5000 [3 per cell]  6 Tc 2.66, 6 Br 2.94

* formation energy without anion corrections: 0.87 eV/atom
* DFT total energy: -5.446 eV per atom
* ΔE to the lowest computed polymorph: 2.198 eV/f.u.
* spin magnetization: 0.00 μB/atom

***

No. 7
The following is a PBE calculation of an optimized crystal structure of TcAgBr, from the Alexandria database.

Unit cell a=3.0760 b=3.0760 c=12.6239 alpha=90.00 beta=90.00 gamma=90.00
Last column: nearest neighbours and their distance in Å.
Space group I4mm (No. 107)
One atom of each set of equivalent atoms:
Tc  0.0000  0.0000  0.0000 [2 per cell]  4 Br 2.56
Ag  0.0000  0.0000  0.6538 [2 per cell]  4 Tc 2.92, 4 Ag 3.08
Br  0.0000  0.0000  0.3927 [2 per cell]  4 Tc 2.56

* formation energy without anion corrections: 0.63 eV/atom
* DFT total energy: -4.331 eV per atom
* ΔE to the lowest computed polymorph: 0.000 eV/f.u.
* spin magnetization: 0.00 μB/atom

***

No. 8
The following is a PBE calculation of an optimized crystal structure of TcAgBr, from the Alexandria database.

Unit cell a=3.0574 b=5.3854 c=14.5139 alpha=90.00 beta=90.00 gamma=90.00
Last column: nearest neighbours and their distance in Å.
Space group Fmm2 (No. 42)
One atom of each set of equivalent atoms:
Tc  0.0000  0.0000  0.0000 [4 per cell]  2 Br 2.52, 2 Ag 2.79
Ag  0.0000  0.0000  0.3392 [4 per cell]  2 Tc 2.79, 6 Ag 3.06-3.10
Br  0.0000  0.0000  0.6384 [4 per cell]  2 Tc 2.52

* formation energy without anion corrections: 0.71 eV/atom
* DFT total energy: -4.252 eV per atom
* ΔE to the lowest computed polymorph: 0.237 eV/f.u.
* spin magnetization: 0.45 μB/atom